The following is a DFT calculation (PBE+U) of BaNi2CF after structural relaxation.

Unit cell a=4.064 b=6.073 c=4.064 alpha=90.00 beta=90.00 gamma=90.00
Positions (direct):
C 0.000 0.500 0.000
Ni 0.500 0.000 0.000
F 0.000 0.000 0.000
Ni 0.000 0.000 0.500
Ba 0.500 0.500 0.500

Output
- E above lowest polymorph: 1095 meV per atom
- SG: P4/mmm (123)
- Volume: 100 Å³/cell
- Total moment: 3.6 μB per cell